Entry 1:
VASP calculation (GGA-PBE) on Bi3RuCl after structural relaxation.

Properties
Formation energy from raw total energies   0.310 eV/atom
Total magnetic moment   0.000 μB per atom
Space group   Pm-3m (221)

Lattice parameters (Å, degrees): 5.3323 5.3323 5.3323 90.00 90.00 90.00
With the nearest neighbours (Å) after each atom.
Fractional coordinates of all 5 atoms:
Bi  0.0000  0.0000  0.5000  2 Ru 2.67
Bi  0.0000  0.5000  0.0000  2 Ru 2.67
Bi  0.5000  0.0000  0.0000  2 Ru 2.67
Ru  0.0000  0.0000  0.0000  6 Bi 2.67
Cl  0.5000  0.5000  0.5000  12 Bi 3.77

=====

Entry 2:
VASP calculation (GGA-PBE) on K2Cr2GaSe6 after structural relaxation.

Properties
Formation energy from raw total energies   -0.714 eV/atom
Total magnetic moment   0.475 μB per atom
Space group   C2/m (12)

Lattice parameters (Å, degrees): 6.4644 6.4644 8.1326 97.39 97.39 120.44
With the nearest neighbours (Å) after each atom.
Fractional coordinates of all 11 atoms:
K  0.1634  0.8366  0.0000  6 Se 3.29-3.33, 1 K 3.67
K  0.8366  0.1634  0.0000  6 Se 3.29-3.33, 1 K 3.67
Cr  0.3318  0.6682  0.5000  6 Se 2.53-2.55
Cr  0.6682  0.3318  0.5000  6 Se 2.53-2.55
Ga  0.0000  0.0000  0.5000  6 Se 2.62-2.64
Se  0.0604  0.4044  0.6805  2 Cr 2.53-2.54, 1 Ga 2.64
Se  0.2861  0.2861  0.3216  2 Cr 2.55, 1 Ga 2.62
Se  0.4044  0.0604  0.6805  2 Cr 2.53-2.54, 1 Ga 2.64
Se  0.5956  0.9396  0.3195  2 Cr 2.53-2.54, 1 Ga 2.64
Se  0.7139  0.7139  0.6784  2 Cr 2.55, 1 Ga 2.62
Se  0.9396  0.5956  0.3195  2 Cr 2.53-2.54, 1 Ga 2.64

=====

Entry 3:
VASP calculation (GGA-PBE) on La4Tc after structural relaxation.

Properties
Calculated formation energy   0.66 eV per atom
Total magnetic moment   0.000 μB per atom
Space group   I4/mmm (139)

Lattice parameters (Å, degrees): 10.6895 10.6895 10.6895 158.58 158.58 30.47
With the nearest neighbours (Å) after each atom.
Fractional coordinates of all 5 atoms:
La  0.0774  0.0774  0.0000  1 La 3.19, 4 Tc 3.23
La  0.2500  0.7500  0.5000  4 La 2.81
La  0.7500  0.2500  0.5000  4 La 2.81
La  0.9226  0.9226  0.0000  1 La 3.19, 4 Tc 3.23
Tc  0.5000  0.5000  0.0000  8 La 3.23

=====

Entry 4:
VASP calculation (GGA-PBE) on TiPd2Au8 after structural relaxation.

Properties
Calculated formation energy   -0.10 eV per atom
Total magnetic moment   0.000 μB per atom
Space group   Cmmm (65)

Lattice parameters (Å, degrees): 6.9668 6.9668 4.2892 90.00 90.00 106.14
With the nearest neighbours (Å) after each atom.
Fractional coordinates of all 11 atoms:
Ti  0.0000  0.0000  0.0000  12 Au 2.67-2.95
Pd  0.3801  0.6199  0.5000  8 Au 2.66-2.91, 1 Pd 2.67
Pd  0.6199  0.3801  0.5000  8 Au 2.66-2.91, 1 Pd 2.67
Au  0.0397  0.2984  0.5000  1 Pd 2.77, 7 Au 2.83-3.01, 2 Ti 2.95
Au  0.2395  0.7605  0.0000  2 Pd 2.66, 1 Ti 2.67, 4 Au 2.85
Au  0.2984  0.0397  0.5000  1 Pd 2.77, 7 Au 2.83-3.01, 2 Ti 2.95
Au  0.3277  0.3277  0.0000  1 Ti 2.74, 5 Au 2.89-2.90, 4 Pd 2.91
Au  0.6723  0.6723  0.0000  1 Ti 2.74, 5 Au 2.89-2.90, 4 Pd 2.91
Au  0.7016  0.9603  0.5000  1 Pd 2.77, 7 Au 2.83-3.01, 2 Ti 2.95
Au  0.7605  0.2395  0.0000  2 Pd 2.66, 1 Ti 2.67, 4 Au 2.85
Au  0.9603  0.7016  0.5000  1 Pd 2.77, 7 Au 2.83-3.01, 2 Ti 2.95